{
  "formula": "HgSb2Ir2",
  "functional": "PBE-GGA",
  "state": "relaxed",
  "e_tot_ha_per_atom": -0.195,
  "de_polymorph_mev_per_atom": 0,
  "formation_energy_uncorrected_ev_per_atom": -0.0540,
  "lattice_angstrom": [[4.047, 0.000, 0.000], [0.000, 4.047, 0.000], [2.024, 2.024, 8.270]],
  "species": ["Sb", "Sb", "Ir", "Ir", "Hg"],
  "frac_coords": [[0.352, 0.352, 0.297], [0.648, 0.648, 0.703], [0.750, 0.250, 0.500], [0.250, 0.750, 0.500], [0.000, 0.000, 0.000]]
}